No. 1
## CuTc2SbAu (PBE)

Data for an optimized crystal structure of CuTc2SbAu.

a = 5.152 Å, b = 5.119 Å, c = 5.152 Å
α = 90.00°, β = 90.00°, γ = 90.00°
Each line ends with the local moment (μB).
Fractional positions:
Sb (0.000, 0.500, 0.000)  -0.01
Tc (0.500, 0.000, 0.000)  2.98
Au (0.000, 0.000, 0.000)  0.16
Cu (0.500, 0.500, 0.500)  0.03
Tc (0.000, 0.000, 0.500)  3.36

Results
Formation energy from raw total energies = 1.95 eV per atom
E = -4.50 eV per atom


No. 2
## UMn2Bi (PBE)

Data for an optimized crystal structure of UMn2Bi.

a = 3.258 Å, b = 3.258 Å, c = 8.097 Å
α = 78.39°, β = 78.39°, γ = 60.00°
Fractional positions:
Mn (0.266, 0.266, 0.203)
Bi (0.500, 0.500, 0.500)
U (0.000, 0.000, 0.000)
Mn (0.734, 0.734, 0.797)

Results
E = -7.93 eV per atom
Energy relative to the elements = 0.444 eV per atom


No. 3
## DyBe4Au8 (PBE)

Data for an optimized crystal structure of DyBe4Au8.

a = 5.270 Å, b = 6.809 Å, c = 6.809 Å
α = 81.39°, β = 67.23°, γ = 67.23°
Fractional positions:
Au (0.500, 0.778, 0.222)
Au (0.000, 0.673, 0.327)
Au (0.500, 0.222, 0.778)
Be (0.500, 0.000, 0.500)
Au (0.673, 0.327, 0.327)
Au (0.000, 0.327, 0.673)
Au (0.327, 0.673, 0.673)
Dy (0.000, 0.000, 0.000)
Be (0.000, 0.000, 0.500)
Be (0.000, 0.500, 0.000)
Be (0.500, 0.500, 0.000)
Au (0.278, 0.222, 0.222)
Au (0.722, 0.778, 0.778)

Results
E = -3.80 eV per atom
Energy relative to the elements = -0.278 eV per atom
Relative energy among the computed polymorphs = 0.0000 eV per atom


No. 4
## KIr2Rh (PBE)

Data for an optimized crystal structure of KIr2Rh.

a = 10.271 Å, b = 10.271 Å, c = 10.271 Å
α = 15.52°, β = 15.52°, γ = 15.52°
Fractional positions:
K (0.250, 0.250, 0.250)
Ir (0.489, 0.489, 0.489)
Ir (0.011, 0.011, 0.011)
Rh (0.750, 0.750, 0.750)

Results
E = -6.00 eV per atom
Energy relative to the elements = 0.547 eV per atom
Relative energy among the computed polymorphs = 0.0932 eV per atom


No. 5
## Al3GaPt3 (PBE)

Data for an optimized crystal structure of Al3GaPt3.

a = 7.583 Å, b = 7.583 Å, c = 7.583 Å
α = 90.00°, β = 90.00°, γ = 90.00°
Fractional positions:
Al (0.670, 0.670, 0.670)
Pt (0.973, 0.198, 0.874)
Al (0.330, 0.170, 0.830)
Al (0.170, 0.830, 0.330)
Pt (0.874, 0.973, 0.198)
Al (0.127, 0.373, 0.627)
Al (0.340, 0.840, 0.660)
Ga (0.960, 0.040, 0.540)
Al (0.373, 0.627, 0.127)
Al (0.830, 0.330, 0.170)
Pt (0.302, 0.126, 0.473)
Pt (0.198, 0.874, 0.973)
Pt (0.626, 0.027, 0.698)
Pt (0.527, 0.802, 0.374)
Al (0.160, 0.160, 0.160)
Al (0.840, 0.660, 0.340)
Al (0.627, 0.127, 0.373)
Pt (0.027, 0.698, 0.626)
Pt (0.698, 0.626, 0.027)
Pt (0.126, 0.473, 0.302)
Ga (0.040, 0.540, 0.960)
Al (0.873, 0.873, 0.873)
Pt (0.374, 0.527, 0.802)
Al (0.660, 0.340, 0.840)
Ga (0.460, 0.460, 0.460)
Ga (0.540, 0.960, 0.040)
Pt (0.473, 0.302, 0.126)
Pt (0.802, 0.374, 0.527)

Results
E = -5.39 eV per atom
Energy relative to the elements = -0.762 eV per atom


No. 6
## Mg5PdRh (PBE)

Data for an optimized crystal structure of Mg5PdRh.

a = 6.776 Å, b = 6.776 Å, c = 8.956 Å
α = 71.36°, β = 71.36°, γ = 72.03°
Fractional positions:
Rh (0.000, 0.000, 0.000)
Mg (0.792, 0.715, 0.144)
Mg (0.293, 0.665, 0.456)
Mg (0.665, 0.293, 0.956)
Mg (0.116, 0.884, 0.750)
Mg (0.884, 0.116, 0.250)
Mg (0.208, 0.285, 0.856)
Mg (0.715, 0.792, 0.644)
Rh (0.000, 0.000, 0.500)
Pd (0.441, 0.559, 0.750)
Pd (0.559, 0.441, 0.250)
Mg (0.285, 0.208, 0.356)
Mg (0.707, 0.335, 0.544)
Mg (0.335, 0.707, 0.044)

Results
E = -3.03 eV per atom
Energy relative to the elements = -0.099 eV per atom


No. 7
## YHo4Tm2 (PBE)

Data for an optimized crystal structure of YHo4Tm2.

a = 5.566 Å, b = 10.516 Å, c = 9.642 Å
α = 122.93°, β = 106.78°, γ = 90.00°
Fractional positions:
Tm (0.658, 0.926, 0.245)
Ho (0.844, 0.615, 0.617)
Y (0.279, 0.728, 0.487)
Ho (0.279, 0.047, 0.486)
Ho (0.052, 0.350, 0.033)
Ho (0.454, 0.720, 0.838)
Ho (0.509, 0.119, 0.946)
Ho (0.246, 0.355, 0.420)
Tm (0.842, 0.284, 0.612)
Y (0.055, 0.973, 0.038)
Ho (0.863, 0.972, 0.655)
Ho (0.059, 0.664, 0.046)
Tm (0.657, 0.595, 0.243)
Tm (0.453, 0.402, 0.835)

Results
E = -4.70 eV per atom
Energy relative to the elements = 0.122 eV per atom
Relative energy among the computed polymorphs = 0.0417 eV per atom


No. 8
## SrSb3N (PBE)

Data for an optimized crystal structure of SrSb3N.

a = 6.115 Å, b = 6.115 Å, c = 6.115 Å
α = 90.00°, β = 90.00°, γ = 90.00°
Each line ends with the local moment (μB).
Fractional positions:
Sb (0.500, 0.000, 0.000)  0.01
Sb (0.000, 0.000, 0.500)  -0.03
Sb (0.000, 0.500, 0.000)  0.01
Sr (0.000, 0.000, 0.000)  0.01
N (0.500, 0.500, 0.500)  1.87

Results
Formation energy from raw total energies = 1.73 eV per atom
E = -2.75 eV per atom
Relative energy among the computed polymorphs = 1.6014 eV per atom


No. 9
## LaHoCuAu (PBE)

Data for an optimized crystal structure of LaHoCuAu.

a = 5.148 Å, b = 5.148 Å, c = 5.148 Å
α = 60.00°, β = 60.00°, γ = 60.00°
Fractional positions:
Au (0.750, 0.750, 0.750)
La (0.000, 0.000, 0.000)
Cu (0.250, 0.250, 0.250)
Ho (0.500, 0.500, 0.500)

Results
E = -4.69 eV per atom
Energy relative to the elements = -0.475 eV per atom
Relative energy among the computed polymorphs = 0.0380 eV per atom


No. 10
## Cs2LiHg2I6 (PBE)

Data for an optimized crystal structure of Cs2LiHg2I6.

a = 8.679 Å, b = 8.680 Å, c = 9.286 Å
α = 116.21°, β = 90.00°, γ = 119.99°
Fractional positions:
Hg (0.041, 0.081, 0.177)
Cs (0.724, 0.449, 0.209)
I (0.262, 0.524, 0.366)
Hg (0.959, 0.919, 0.823)
I (0.327, 0.102, 0.778)
I (0.738, 0.476, 0.634)
I (0.225, 0.898, 0.222)
I (0.673, 0.898, 0.222)
I (0.775, 0.102, 0.778)
Cs (0.276, 0.551, 0.791)
Li (0.500, 0.000, 0.500)

Results
Formation energy from raw total energies = -0.85 eV per atom
E = -2.08 eV per atom


No. 11
## K2MgNi (PBE)

Data for an optimized crystal structure of K2MgNi.

a = 4.778 Å, b = 4.789 Å, c = 5.316 Å
α = 90.00°, β = 90.00°, γ = 90.00°
Each line ends with the local moment (μB).
Fractional positions:
Ni (0.000, 0.500, 0.500)  0.22
K (0.000, 0.000, 0.000)  0.00
Mg (0.500, 0.000, 0.500)  0.00
K (0.500, 0.500, 0.000)  0.00

Results
E = -1.76 eV per atom
Energy relative to the elements = 0.636 eV per atom


No. 12
## Ti2VPS (PBE)

Data for an optimized crystal structure of Ti2VPS.

a = 4.666 Å, b = 4.255 Å, c = 4.666 Å
α = 90.00°, β = 90.00°, γ = 90.00°
Fractional positions:
Ti (0.000, 0.000, 0.500)
Ti (0.500, 0.000, 0.000)
P (0.000, 0.500, 0.000)
S (0.500, 0.500, 0.500)
V (0.000, 0.000, 0.000)

Results
Formation energy from raw total energies = 0.38 eV per atom
E = -6.51 eV per atom